Below is a geometry-optimized NbCo3O8 structure, with properties calculated at the PBE with a Hubbard U level.

Cell: 5.679 5.679 9.238 Å, 90.21 90.21 119.48°
Positions (direct):
Nb 0.164 0.836 0.500
Nb 0.836 0.164 0.000
Co 0.168 0.340 0.715
Co 0.340 0.168 0.215
Co 0.341 0.673 0.217
Co 0.673 0.341 0.717
Co 0.674 0.848 0.716
Co 0.848 0.674 0.216
O 0.033 0.994 0.328
O 0.034 0.544 0.333
O 0.178 0.834 0.113
O 0.184 0.340 0.102
O 0.339 0.670 0.604
O 0.340 0.184 0.602
O 0.476 0.991 0.329
O 0.509 0.510 0.312
O 0.510 0.509 0.812
O 0.544 0.034 0.833
O 0.670 0.339 0.104
O 0.672 0.832 0.101
O 0.832 0.672 0.601
O 0.834 0.178 0.613
O 0.991 0.476 0.829
O 0.994 0.033 0.828

Properties
SG   Cc, No. 9
Raw total energy   -6.63 eV per atom
Total magnetic moment   2.0 μB per formula unit